[1]
! Tb6PmY5 (PBE, relaxed); values from VASP
&SYSTEM
  ibrav = 0, nat = 12, ntyp = 3
/
ATOMIC_SPECIES
Tb 158.93 Tb.upf
Pm 145.00 Pm.upf
Y 88.91 Y.upf
ATOMIC_POSITIONS crystal
Tb 0.083 0.417 0.751
Tb 0.250 0.250 0.249
Tb 0.417 0.083 0.751
Tb 0.583 0.917 0.249
Tb 0.750 0.750 0.751
Tb 0.917 0.583 0.249
Pm 0.000 0.000 0.500
Y 0.167 0.833 0.000
Y 0.333 0.667 0.500
Y 0.500 0.500 0.000
Y 0.667 0.333 0.500
Y 0.833 0.167 0.000
CELL_PARAMETERS angstrom
3.095 -5.354 0.000
3.095 5.354 0.000
-2.045 0.000 11.664
! E_form	0.017	eV/atom
! total magnetization	0.00	μB per formula unit
! symmetry	C2/m
! electronic total energy	-5.387	eV per atom

***

[2]
! Ba2PAu (PBE, relaxed); values from VASP
&SYSTEM
  ibrav = 0, nat = 4, ntyp = 3
/
ATOMIC_SPECIES
Ba 137.33 Ba.upf
P 30.97 P.upf
Au 196.97 Au.upf
ATOMIC_POSITIONS crystal
Ba 0.000 0.000 0.000
Ba 0.740 0.240 0.500
P 0.313 0.813 0.500
Au 0.451 0.451 0.000
CELL_PARAMETERS angstrom
-2.198 2.304 6.511
2.198 -2.304 6.511
2.198 2.304 -6.511
! E_form	-0.679	eV/atom
! total magnetization	0.00	μB per formula unit
! symmetry	Imm2
! electronic total energy	-3.812	eV per atom

***

[3]
! Cs4Tb3PaSe8 (PBE, relaxed); values from VASP
&SYSTEM
  ibrav = 0, nat = 16, ntyp = 4
/
ATOMIC_SPECIES
Cs 132.91 Cs.upf
Tb 158.93 Tb.upf
Pa 231.04 Pa.upf
Se 78.96 Se.upf
ATOMIC_POSITIONS crystal
Cs 0.000 0.000 0.000
Cs 0.000 0.500 0.500
Cs 0.500 0.000 0.500
Cs 0.500 0.500 0.000
Tb 0.000 0.000 0.500
Tb 0.000 0.500 0.000
Tb 0.500 0.000 0.000
Pa 0.500 0.500 0.500
Se 0.229 0.229 0.229
Se 0.230 0.729 0.729
Se 0.271 0.271 0.770
Se 0.271 0.770 0.271
Se 0.729 0.230 0.729
Se 0.729 0.729 0.230
Se 0.770 0.271 0.271
Se 0.771 0.771 0.771
CELL_PARAMETERS angstrom
4.281 2.471 8.404
-4.281 2.471 8.404
0.000 -4.943 8.404
! total magnetization	1.72	μB per formula unit
! symmetry	R-3m
! electronic total energy	-5.023	eV per atom
! formation energy (no corrections)	-1.606	eV/atom

***

[4]
! Ho6P3Se2S (PBE, relaxed); values from VASP
&SYSTEM
  ibrav = 0, nat = 12, ntyp = 4
/
ATOMIC_SPECIES
Ho 164.93 Ho.upf
P 30.97 P.upf
Se 78.96 Se.upf
S 32.06 S.upf
ATOMIC_POSITIONS crystal
Ho 0.005 0.005 0.246
Ho 0.332 0.332 0.430
Ho 0.338 0.338 0.904
Ho 0.662 0.662 0.096
Ho 0.668 0.668 0.570
Ho 0.995 0.995 0.754
P 0.167 0.167 0.335
P 0.500 0.500 0.000
P 0.833 0.833 0.665
Se 0.166 0.166 0.834
Se 0.834 0.834 0.166
S 0.500 0.500 0.500
CELL_PARAMETERS angstrom
8.744 -1.991 0.000
8.744 1.991 0.000
-1.944 0.000 7.792
! total magnetization	0.00	μB per formula unit
! symmetry	C2/m
! electronic total energy	-6.365	eV per atom
! formation energy (no corrections)	-1.799	eV/atom